Record 1
This record from the Alexandria database describes an optimized crystal structure of ZrTlH. The functional is PBE.

Calculated values
Its density of states at the Fermi level is 0.587 states/eV per atom. Its total moment is 0.00 μB/f.u. As for the relative energy among the computed polymorphs: 224 meV per atom.

Lattice parameters (Å, degrees): 10.6726 10.6726 7.6741 90.00 90.00 90.00
Last column: nearest neighbours and their distance in Å.
Space group I4_1/a (No. 88, origin choice 2)
Inequivalent atoms, fractional coordinates:
Zr1 0.0854 0.4686 0.1437 x16  3 H 2.02-2.05
Tl1 0.1121 0.0929 0.4805 x16  1 H 2.86, 3 Tl 3.12-3.16, 2 Zr 3.18-3.19
H1 0.0484 0.1226 0.0068 x16  3 Zr 2.02-2.05



Record 2
This record from the Alexandria database describes an optimized crystal structure of YTh7. The functional is PBE.

Calculated values
Its density of states at the Fermi level is 1.176 states/eV per atom. Its total moment is 0.00 μB/f.u. For the formation enthalpy at 0 K, the calculation gives 23 meV/atom.

Lattice parameters (Å, degrees): 10.0873 10.0873 10.0873 90.00 90.00 90.00
Last column: nearest neighbours and their distance in Å.
Space group Fm-3m (No. 225)
Inequivalent atoms, fractional coordinates:
Y1 0.0000 0.0000 0.0000 x4  12 Th 3.57
Th1 0.0000 0.0000 0.5000 x4  12 Th 3.57
Th2 0.0000 0.2500 0.2500 x24  10 Th 3.57, 2 Y 3.57



Record 3
This record from the Alexandria database describes an optimized crystal structure of Sm2BC. The functional is PBE.

Calculated values
Its density of states at the Fermi level is 1.008 states/eV per atom. Its total moment is 0.00 μB/f.u. For the formation enthalpy at 0 K, the calculation gives -70 meV/atom.

Lattice parameters (Å, degrees): 3.0518 3.6422 7.2422 104.47 101.97 90.07
Last column: nearest neighbours and their distance in Å.
Space group P-1 (No. 2)
Inequivalent atoms, fractional coordinates:
Sm1 0.1301 0.1305 0.2635 x2  2 C 2.56-2.57
B1 0.5000 0.5000 0.0000 x1  2 C 1.53
C1 0.0000 0.5000 0.0000 x1  2 B 1.53



Record 4
This record from the Alexandria database describes an optimized crystal structure of Sr6Zn5In. The functional is PBE.

Calculated values
Its density of states at the Fermi level is 0.659 states/eV per atom. Its total moment is 0.00 μB/f.u. For the formation enthalpy at 0 K, the calculation gives -223 meV/atom.

Lattice parameters (Å, degrees): 5.5336 8.0206 8.7413 90.00 108.46 90.00
Last column: nearest neighbours and their distance in Å.
Space group P2/m (No. 10)
Inequivalent atoms, fractional coordinates:
Sr1 0.0000 0.2422 0.0000 x2  6 Zn 3.37-3.38, 2 In 3.45
Sr2 0.3320 0.2467 0.6625 x4  7 Zn 3.37-3.48, 1 In 3.46
Zn1 0.1587 0.5000 0.3211 x2  8 Sr 3.37-3.48
Zn2 0.1645 0.0000 0.3329 x2  8 Sr 3.37-3.41
Zn3 0.5000 0.0000 0.0000 x1  8 Sr 3.38-3.43
In1 0.5000 0.5000 0.0000 x1  8 Sr 3.45-3.46, 4 Zn 3.83-3.85



Record 5
This record from the Alexandria database describes an optimized crystal structure of FeTe. The functional is PBE.

Calculated values
As for the formation energy from raw total energies: 29 kJ/mol of formula units. Its density of states at the Fermi level is 0.733 states/eV per atom. Its total moment is 2.29 μB/f.u.

Lattice parameters (Å, degrees): 5.1995 7.1599 4.3795 90.00 90.00 90.00
Last column: nearest neighbours and their distance in Å.
Space group Cmcm (No. 63)
Inequivalent atoms, fractional coordinates:
Fe1 0.0000 0.0855 0.2500 x4  2 Fe 2.51, 5 Te 2.63-2.75
Te1 0.0000 0.2893 0.7500 x4  5 Fe 2.63-2.75



Record 6
This record from the Alexandria database describes an optimized crystal structure of BaBi2Br. The functional is PBE.

Calculated values
As for the formation energy from raw total energies: -334 kJ/mol of formula units. Its density of states at the Fermi level is 0.543 states/eV per atom. Its total moment is 0.00 μB/f.u. As for the relative energy among the computed polymorphs: 0 meV per atom.

Lattice parameters (Å, degrees): 4.6872 4.6872 28.5576 90.00 90.00 90.00
Last column: nearest neighbours and their distance in Å.
Space group I-42d (No. 122)
Inequivalent atoms, fractional coordinates:
Ba1 0.0000 0.0000 0.0000 x4  4 Br 3.31
Bi1 0.2095 0.2500 0.1250 x8  2 Bi 3.06
Br1 0.0000 0.0000 0.5000 x4  4 Ba 3.31



Record 7
This record from the Alexandria database describes an optimized crystal structure of RbSiAu3. The functional is PBE.

Calculated values
As for the formation energy from raw total energies: 16 kJ/mol of formula units. Its density of states at the Fermi level is 0.343 states/eV per atom. Its total moment is 0.00 μB/f.u. As for the relative energy among the computed polymorphs: 309 meV per atom.

Lattice parameters (Å, degrees): 5.1034 5.1034 25.7308 90.00 90.00 90.00
Last column: nearest neighbours and their distance in Å.
Space group I-4m2 (No. 119)
Inequivalent atoms, fractional coordinates:
Rb1 0.0000 0.0000 0.0000 x2  4 Au 3.48
Rb2 0.0000 0.5000 0.2500 x2  4 Au 3.44
Si1 0.0000 0.5000 0.6236 x4  6 Au 2.55-2.85
Au1 0.0000 0.0000 0.3788 x4  2 Si 2.55, 4 Au 2.86
Au2 0.0000 0.2487 0.1260 x8  2 Au 2.54-2.56



Record 8
This record from the Alexandria database describes an optimized crystal structure of Tb6Nd2Ag. The functional is PBE.

Calculated values
Its density of states at the Fermi level is 1.406 states/eV per atom. Its total moment is 0.00 μB/f.u. For the formation enthalpy at 0 K, the calculation gives 23 meV/atom.

Lattice parameters (Å, degrees): 9.8179 10.2367 5.4965 90.00 90.00 90.00
Last column: nearest neighbours and their distance in Å.
Space group Pnnm (No. 58)
Inequivalent atoms, fractional coordinates:
Tb1 0.0165 0.1864 0.0000 x4  1 Ag 3.21, 3 Nd 3.28-3.29, 3 Tb 3.52-3.60
Tb2 0.1360 0.6035 0.5000 x4  2 Ag 3.23, 3 Tb 3.35-3.52, 3 Nd 3.51-3.58
Tb3 0.1880 0.9269 0.5000 x4  1 Ag 3.15, 3 Nd 3.32-3.50, 1 Tb 3.35
Nd1 0.1882 0.2516 0.5000 x4  10 Tb 3.28-3.64
Ag1 0.0000 0.5000 0.0000 x2  8 Tb 3.15-3.23



Record 9
This record from the Alexandria database describes an optimized crystal structure of Pa2HgF11. The functional is PBE.

Calculated values
As for the formation energy from raw total energies: -4549 kJ/mol of formula units. Its density of states at the Fermi level is 0.004 states/eV per atom. Its total moment is 1.04 μB/f.u.

Lattice parameters (Å, degrees): 8.6422 10.8447 12.1736 90.00 90.00 90.00
Last column: nearest neighbours and their distance in Å.
Space group Ibam (No. 72)
Inequivalent atoms, fractional coordinates:
Pa1 0.1425 0.1807 0.0000 x8  6 F 2.09-2.31
Hg1 0.0000 0.5000 0.2500 x4  8 F 2.72-2.79
F1 0.0000 0.0000 0.0000 x4  2 Pa 2.31
F2 0.0968 0.3037 0.1283 x16  1 Pa 2.09
F3 0.1317 0.2191 0.5000 x8  2 Pa 2.23-2.41
F4 0.2499 0.0761 0.1223 x16  1 Pa 2.09



Record 10
This record from the Alexandria database describes an optimized crystal structure of GaBiS2N. The functional is PBE.

Calculated values
As for the formation energy from raw total energies: 424 kJ/mol of formula units. Its density of states at the Fermi level is 0.619 states/eV per atom. Its total moment is 2.07 μB/f.u. As for the relative energy among the computed polymorphs: 488 meV per atom.

Lattice parameters (Å, degrees): 5.3086 5.3086 4.5018 90.00 90.00 90.00
Last column: nearest neighbours and their distance in Å.
Space group P4/mmm (No. 123)
Inequivalent atoms, fractional coordinates:
Ga1 0.0000 0.0000 0.0000 x1  8 S 3.48, 4 N 3.75
Bi1 0.5000 0.5000 0.5000 x1  2 N 2.25
S1 0.0000 0.5000 0.5000 x2  2 Bi 2.65
N1 0.5000 0.5000 0.0000 x1  2 Bi 2.25



Record 11
This record from the Alexandria database describes an optimized crystal structure of CsLaBe2H. The functional is PBE.

Calculated values
Its density of states at the Fermi level is 0.637 states/eV per atom. Its total moment is 0.00 μB/f.u. The value obtained for the energy is -1.865 eV per atom.

Lattice parameters (Å, degrees): 5.5873 5.5873 4.4164 90.00 90.00 90.00
Last column: nearest neighbours and their distance in Å.
Space group P4/mmm (No. 123)
Inequivalent atoms, fractional coordinates:
Cs1 0.0000 0.0000 0.0000 x1  2 H 2.21
La1 0.5000 0.5000 0.5000 x1  8 Be 3.56, 4 H 3.95
Be1 0.0000 0.5000 0.0000 x2  2 Cs 2.79
H1 0.0000 0.0000 0.5000 x1  2 Cs 2.21



Record 12
This record from the Alexandria database describes an optimized crystal structure of NbTc2N. The functional is PBE.

Calculated values
As for the formation energy from raw total energies: -2 kJ/mol of formula units. Its density of states at the Fermi level is 1.168 states/eV per atom. Its total moment is 0.00 μB/f.u. As for the relative energy among the computed polymorphs: 0 meV per atom.

Lattice parameters (Å, degrees): 6.9533 6.9533 4.5712 90.00 90.00 90.00
Last column: nearest neighbours and their distance in Å.
Space group I-42d (No. 122)
Inequivalent atoms, fractional coordinates:
Nb1 0.0000 0.0000 0.0000 x4  2 N 2.29
Tc1 0.1352 0.2500 0.6250 x8  2 N 2.06
N1 0.0000 0.0000 0.5000 x4  4 Tc 2.06, 2 Nb 2.29



Record 13
This record from the Alexandria database describes an optimized crystal structure of Pr2PaMoN5. The functional is PBE.

Calculated values
As for the formation energy from raw total energies: -1016 kJ/mol of formula units. Its density of states at the Fermi level is 0.414 states/eV per atom. Its total moment is 0.00 μB/f.u.

Lattice parameters (Å, degrees): 3.9171 3.9171 8.6743 90.00 90.00 90.00
Last column: nearest neighbours and their distance in Å.
Space group P4/mmm (No. 123)
Inequivalent atoms, fractional coordinates:
Pr1 0.0000 0.0000 0.2070 x2  9 N 2.54-2.81
Pa1 0.5000 0.5000 0.5000 x1  2 N 2.07
Mo1 0.5000 0.5000 0.0000 x1  4 N 1.96
N1 0.0000 0.0000 0.5000 x1  2 Pr 2.54, 4 Pa 2.77
N2 0.0000 0.5000 0.0000 x2  2 Mo 1.96
N3 0.5000 0.5000 0.2614 x2  1 Pa 2.07, 1 Mo 2.27



Record 14
This record from the Alexandria database describes an optimized crystal structure of Dy2ZnB. The functional is PBE.

Calculated values
Its density of states at the Fermi level is 0.717 states/eV per atom. Its total moment is 0.00 μB/f.u. For the formation enthalpy at 0 K, the calculation gives 219 meV/atom.

Lattice parameters (Å, degrees): 3.8061 3.8061 26.6899 90.00 90.00 120.00
Last column: nearest neighbours and their distance in Å.
Space group R-3m (No. 166, hexagonal axes)
Inequivalent atoms, fractional coordinates:
Dy1 0.0000 0.0000 0.1173 x6  3 B 2.56
Zn1 0.0000 0.0000 0.0000 x3  2 Dy 3.13
B1 0.0000 0.0000 0.5000 x3  6 Dy 2.56



Record 15
This record from the Alexandria database describes an optimized crystal structure of Nb2CdSb. The functional is PBE.

Calculated values
As for the formation energy from raw total energies: 172 kJ/mol of formula units. Its density of states at the Fermi level is 1.141 states/eV per atom. Its total moment is 0.00 μB/f.u. As for the relative energy among the computed polymorphs: 193 meV per atom.

Lattice parameters (Å, degrees): 4.0688 4.0688 20.8055 90.00 90.00 90.00
Last column: nearest neighbours and their distance in Å.
Space group I-42d (No. 122)
Inequivalent atoms, fractional coordinates:
Nb1 0.2435 0.2500 0.1250 x8  4 Nb 2.84-2.91, 2 Sb 2.96, 2 Cd 2.98
Cd1 0.0000 0.0000 0.5000 x4  4 Sb 2.88, 4 Nb 2.98
Sb1 0.0000 0.0000 0.0000 x4  4 Cd 2.88, 4 Nb 2.96



Record 16
This record from the Alexandria database describes an optimized crystal structure of SrAl2InRe. The functional is PBE.

Calculated values
Its density of states at the Fermi level is 2.086 states/eV per atom. Its total moment is 0.00 μB/f.u. For the formation enthalpy at 0 K, the calculation gives 2581 meV/atom.

Lattice parameters (Å, degrees): 5.3314 5.3314 5.6041 90.00 90.00 90.00
Last column: nearest neighbours and their distance in Å.
Space group P4/mmm (No. 123)
Inequivalent atoms, fractional coordinates:
Sr1 0.0000 0.0000 0.0000 x1  4 Al 2.67, 2 In 2.80
Al1 0.0000 0.5000 0.0000 x2  2 Sr 2.67
In1 0.0000 0.0000 0.5000 x1  2 Sr 2.80
Re1 0.5000 0.5000 0.5000 x1  4 In 3.77, 8 Al 3.87



Record 17
This record from the Alexandria database describes an optimized crystal structure of InAgPb. The functional is PBE.

Calculated values
Its density of states at the Fermi level is 0.501 states/eV per atom. Its total moment is 0.00 μB/f.u. For the formation enthalpy at 0 K, the calculation gives 55 meV/atom.

Lattice parameters (Å, degrees): 4.3294 4.3294 8.0832 90.00 90.00 90.00
Last column: nearest neighbours and their distance in Å.
Space group P4/nmm (No. 129, origin choice 2)
Inequivalent atoms, fractional coordinates:
In1 0.2500 0.7500 0.0000 x2  4 Ag 2.98, 4 In 3.06
Ag1 0.2500 0.2500 0.2540 x2  4 In 2.98, 5 Pb 3.01-3.21
Pb1 0.2500 0.2500 0.6259 x2  5 Ag 3.01-3.21



Record 18
This record from the Alexandria database describes an optimized crystal structure of Rb3Tc2N4. The functional is PBE.

Calculated values
As for the formation energy from raw total energies: -128 kJ/mol of formula units. Its density of states at the Fermi level is 0.266 states/eV per atom. Its total moment is 0.00 μB/f.u.

Lattice parameters (Å, degrees): 6.1848 17.2544 8.5036 90.00 90.00 90.00
Last column: nearest neighbours and their distance in Å.
Space group Imma (No. 74)
Inequivalent atoms, fractional coordinates:
Rb1 0.0000 0.1035 0.0645 x8  5 N 3.07-3.19
Rb2 0.0000 0.2500 0.5300 x4  2 N 3.16
Tc1 0.0000 0.0341 0.6353 x8  4 N 1.87-1.96
N1 0.0000 0.0749 0.4205 x8  2 Tc 1.94-1.96
N2 0.2500 0.0577 0.7500 x8  2 Tc 1.87



Record 19
This record from the Alexandria database describes an optimized crystal structure of CdGaOs2Pb. The functional is PBE.

Calculated values
Its density of states at the Fermi level is 1.685 states/eV per atom. Its total moment is 2.65 μB/f.u. For the formation enthalpy at 0 K, the calculation gives 2017 meV/atom.

Lattice parameters (Å, degrees): 5.0387 5.0387 4.7320 90.00 90.00 90.00
Last column: nearest neighbours and their distance in Å.
Space group P4/mmm (No. 123)
Inequivalent atoms, fractional coordinates:
Cd1 0.0000 0.0000 0.0000 x1  2 Ga 2.37, 4 Os 2.52
Ga1 0.0000 0.0000 0.5000 x1  2 Cd 2.37
Os1 0.0000 0.5000 0.0000 x2  2 Cd 2.52
Pb1 0.5000 0.5000 0.5000 x1  8 Os 3.46, 4 Ga 3.56



Record 20
This record from the Alexandria database describes an optimized crystal structure of Y2PuNi9. The functional is PBE.

Calculated values
Its density of states at the Fermi level is 1.848 states/eV per atom. Its total moment is 3.68 μB/f.u. For the formation enthalpy at 0 K, the calculation gives -324 meV/atom.

Lattice parameters (Å, degrees): 4.9779 4.9779 24.3535 90.00 90.00 120.00
Last column: nearest neighbours and their distance in Å.
Space group R-3m (No. 166, hexagonal axes)
Inequivalent atoms, fractional coordinates:
Y1 0.0000 0.0000 0.1388 x6  12 Ni 2.85-3.10, 3 Y 3.18
Pu1 0.0000 0.0000 0.0000 x3  18 Ni 2.87-3.19
Ni1 0.0000 0.0000 0.3329 x6  6 Ni 2.45-2.47
Ni2 0.0000 0.0000 0.5000 x3  6 Ni 2.52
Ni3 0.9995 0.4998 0.0819 x18  7 Ni 2.45-2.52